(1)
# V2CrCuBr GGA-PBE relaxed
data_V2CrCuBr
_chemical_formula_sum 'V2 Cr1 Cu1 Br1'
_space_group_name_H-M_alt 'P 1'
_space_group_IT_number 1
_space_group_name_Hall 'P 1'
_cell_length_a 3.080
_cell_length_b 3.157
_cell_length_c 8.161
_cell_angle_alpha 90.00
_cell_angle_beta 90.00
_cell_angle_gamma 90.00
loop_
_atom_site_label
_atom_site_fract_x
_atom_site_fract_y
_atom_site_fract_z
V1 0.500 0.000 0.263
Cu1 0.500 0.000 0.603
V2 0.000 0.500 0.422
Cr1 0.000 0.500 0.102
Br1 0.500 0.500 0.857
# - Energy relative to the lowest polymorph listed for this composition: 65 meV/atom
# - Size of the total moment: 0.342 μB/atom
# - ΔE_f (raw): 0.28 eV per atom

(2)
# V2CrCuBr GGA-PBE relaxed
data_V2CrCuBr
_chemical_formula_sum 'V4 Cr2 Cu2 Br2'
_space_group_name_H-M_alt 'P 1'
_space_group_IT_number 1
_space_group_name_Hall 'P 1'
_cell_length_a 8.917
_cell_length_b 3.860
_cell_length_c 4.588
_cell_angle_alpha 90.00
_cell_angle_beta 94.78
_cell_angle_gamma 90.00
loop_
_atom_site_label
_atom_site_fract_x
_atom_site_fract_y
_atom_site_fract_z
Cu1 0.407 0.000 0.849
Cr1 0.741 0.000 0.930
V1 0.905 0.500 0.972
V2 0.589 0.000 0.379
Br1 0.110 0.500 0.375
Cu2 0.407 0.500 0.349
Cr2 0.741 0.500 0.430
V3 0.905 0.000 0.472
Br2 0.110 0.000 0.875
V4 0.589 0.500 0.879
# - Energy relative to the lowest polymorph listed for this composition: 0 meV/atom
# - Size of the total moment: 0.000 μB/atom
# - ΔE_f (raw): 0.21 eV per atom

(3)
# ZrCrCuBr2 GGA-PBE relaxed
data_ZrCrCuBr2
_chemical_formula_sum 'Zr1 Cr1 Cu1 Br2'
_space_group_name_H-M_alt 'P 1'
_space_group_IT_number 1
_space_group_name_Hall 'P 1'
_cell_length_a 4.862
_cell_length_b 4.902
_cell_length_c 4.862
_cell_angle_alpha 90.00
_cell_angle_beta 90.00
_cell_angle_gamma 90.00
loop_
_atom_site_label
_atom_site_fract_x
_atom_site_fract_y
_atom_site_fract_z
Cu1 0.000 0.500 0.000
Zr1 0.500 0.500 0.500
Cr1 0.000 0.000 0.000
Br1 0.000 0.000 0.500
Br2 0.500 0.000 0.000
# - Size of the total moment: 0.779 μB/atom
# - ΔE_f (raw): 0.65 eV per atom

Respective ρ values: 6.2 6.3 5.3 g/cm³.
Respective VASP energy values: -6.449 -6.514 -4.470 eV/atom.